No. 1
! PBE TaSi2Pt, relaxed; values from VASP
! **Total magnetic moment**: 0.00 μB/atom
! **Formation energy without anion corrections**: -1.6 eV/f.u.
! **E_tot**: -0.558 Ry/atom
! **Space group**: Pmm2
&SYSTEM
  ibrav = 0, nat = 4, ntyp = 3
/
ATOMIC_SPECIES
Ta 180.95 Ta.upf
Si 28.09 Si.upf
Pt 195.08 Pt.upf
CELL_PARAMETERS angstrom
2.772 0.000 0.000
0.000 4.391 0.000
0.000 0.000 4.972
ATOMIC_POSITIONS crystal
Ta 0.000 0.000 0.000
Si 0.500 0.000 0.477
Si 0.500 0.500 0.205
Pt 0.500 0.500 0.709

=====

No. 2
! PBE Pm7Sn3O2, relaxed; values from VASP
! **Total magnetic moment**: 0.00 μB/atom
! **Formation energy without anion corrections**: -16.1 eV/f.u.
! **E_tot**: -0.436 Ry/atom
! **Space group**: Cmmm
&SYSTEM
  ibrav = 0, nat = 12, ntyp = 3
/
ATOMIC_SPECIES
Pm 145.00 Pm.upf
Sn 118.71 Sn.upf
O 16.00 O.upf
CELL_PARAMETERS angstrom
2.464 -12.632 0.000
2.464 12.632 0.000
0.000 0.000 4.792
ATOMIC_POSITIONS crystal
Pm 0.000 0.000 0.000
Pm 0.096 0.904 0.500
Pm 0.202 0.798 0.000
Pm 0.399 0.601 0.000
Pm 0.601 0.399 0.000
Pm 0.798 0.202 0.000
Pm 0.904 0.096 0.500
Sn 0.308 0.692 0.500
Sn 0.500 0.500 0.500
Sn 0.692 0.308 0.500
O 0.101 0.899 0.000
O 0.899 0.101 0.000

=====

No. 3
! PBE PaPb2S5, relaxed; values from VASP
! **Total magnetic moment**: 0.00 μB/atom
! **Formation energy without anion corrections**: -6.5 eV/f.u.
! **E_tot**: -0.405 Ry/atom
! **Offset from the most stable computed form**: 11 meV per atom
! **Space group**: P-1
&SYSTEM
  ibrav = 0, nat = 8, ntyp = 3
/
ATOMIC_SPECIES
Pa 231.04 Pa.upf
Pb 207.20 Pb.upf
S 32.06 S.upf
CELL_PARAMETERS angstrom
5.358 0.000 0.000
2.672 6.865 0.000
2.627 1.531 6.857
ATOMIC_POSITIONS crystal
Pa 0.000 0.000 0.000
Pb 0.182 0.404 0.237
Pb 0.818 0.596 0.763
S 0.047 0.238 0.657
S 0.239 0.676 0.841
S 0.500 0.000 0.000
S 0.761 0.324 0.159
S 0.953 0.762 0.343

=====

No. 4
! PBE LiSi2Ni, relaxed; values from VASP
! **Total magnetic moment**: 0.00 μB/atom
! **Formation energy without anion corrections**: -0.6 eV/f.u.
! **E_tot**: -0.352 Ry/atom
! **Offset from the most stable computed form**: 199 meV per atom
! **Space group**: Fm-3m
&SYSTEM
  ibrav = 0, nat = 16, ntyp = 3
/
ATOMIC_SPECIES
Li 6.94 Li.upf
Si 28.09 Si.upf
Ni 58.69 Ni.upf
CELL_PARAMETERS angstrom
5.805 0.000 0.000
0.000 5.805 0.000
0.000 0.000 5.805
ATOMIC_POSITIONS crystal
Li 0.000 0.000 0.000
Li 0.000 0.500 0.500
Li 0.500 0.000 0.500
Li 0.500 0.500 0.000
Si 0.250 0.250 0.250
Si 0.250 0.250 0.750
Si 0.250 0.750 0.250
Si 0.250 0.750 0.750
Si 0.750 0.250 0.250
Si 0.750 0.250 0.750
Si 0.750 0.750 0.250
Si 0.750 0.750 0.750
Ni 0.000 0.000 0.500
Ni 0.000 0.500 0.000
Ni 0.500 0.000 0.000
Ni 0.500 0.500 0.500

=====

No. 5
! PBE AcTb2ErS4, relaxed; values from VASP
! **Total magnetic moment**: 0.00 μB/atom
! **Formation energy without anion corrections**: -15.6 eV/f.u.
! **E_tot**: -0.460 Ry/atom
! **Space group**: P2/m
&SYSTEM
  ibrav = 0, nat = 8, ntyp = 4
/
ATOMIC_SPECIES
Ac 227.00 Ac.upf
Tb 158.93 Tb.upf
Er 167.26 Er.upf
S 32.06 S.upf
CELL_PARAMETERS angstrom
6.901 0.000 0.000
0.000 3.953 0.000
-2.273 0.000 6.712
ATOMIC_POSITIONS crystal
Ac 0.000 0.000 0.000
Tb 0.500 0.000 0.500
Tb 0.500 0.500 0.000
Er 0.000 0.500 0.500
S 0.253 0.000 0.736
S 0.266 0.500 0.272
S 0.734 0.500 0.728
S 0.747 0.000 0.264

=====

No. 6
! PBE NdIn2Cl8, relaxed; values from VASP
! **Total magnetic moment**: 0.00 μB/atom
! **Formation energy without anion corrections**: -14.7 eV/f.u.
! **E_tot**: -0.265 Ry/atom
! **Space group**: C2/m
&SYSTEM
  ibrav = 0, nat = 11, ntyp = 3
/
ATOMIC_SPECIES
Nd 144.24 Nd.upf
In 114.82 In.upf
Cl 35.45 Cl.upf
CELL_PARAMETERS angstrom
7.046 -4.124 0.000
7.046 4.124 0.000
-1.220 0.000 6.922
ATOMIC_POSITIONS crystal
Nd 0.000 0.000 0.000
In 0.190 0.190 0.651
In 0.810 0.810 0.349
Cl 0.124 0.693 0.214
Cl 0.165 0.165 0.281
Cl 0.307 0.876 0.786
Cl 0.360 0.360 0.761
Cl 0.640 0.640 0.239
Cl 0.693 0.124 0.214
Cl 0.835 0.835 0.719
Cl 0.876 0.307 0.786

=====

No. 7
! PBE Ca2CuPdN, relaxed; values from VASP
! **Total magnetic moment**: 0.00 μB/atom
! **Formation energy without anion corrections**: -2.7 eV/f.u.
! **E_tot**: -0.358 Ry/atom
! **Offset from the most stable computed form**: 0 meV per atom
! **Space group**: P4/mmm
&SYSTEM
  ibrav = 0, nat = 5, ntyp = 4
/
ATOMIC_SPECIES
Ca 40.08 Ca.upf
Cu 63.55 Cu.upf
Pd 106.42 Pd.upf
N 14.01 N.upf
CELL_PARAMETERS angstrom
4.949 0.000 0.000
0.000 4.949 0.000
0.000 0.000 3.730
ATOMIC_POSITIONS crystal
Ca 0.000 0.500 0.000
Ca 0.500 0.000 0.000
Cu 0.000 0.000 0.500
Pd 0.500 0.500 0.500
N 0.000 0.000 0.000

=====

No. 8
! PBE TaFeAs2Se, relaxed; values from VASP
! **Total magnetic moment**: 0.71 μB/atom
! **Formation energy without anion corrections**: 3.4 eV/f.u.
! **E_tot**: -0.436 Ry/atom
! **Offset from the most stable computed form**: 0 meV per atom
! **Space group**: P4/mmm
&SYSTEM
  ibrav = 0, nat = 5, ntyp = 4
/
ATOMIC_SPECIES
Ta 180.95 Ta.upf
Fe 55.84 Fe.upf
As 74.92 As.upf
Se 78.96 Se.upf
CELL_PARAMETERS angstrom
5.013 0.000 0.000
0.000 5.013 0.000
0.000 0.000 4.949
ATOMIC_POSITIONS crystal
Ta 0.000 0.000 0.000
Fe 0.500 0.500 0.500
As 0.000 0.500 0.000
As 0.500 0.000 0.000
Se 0.000 0.000 0.500

=====

No. 9
! PBE TiZnO2, relaxed; values from VASP
! **Total magnetic moment**: 0.00 μB/atom
! **Formation energy without anion corrections**: -7.5 eV/f.u.
! **E_tot**: -0.489 Ry/atom
! **Space group**: P-1
&SYSTEM
  ibrav = 0, nat = 16, ntyp = 3
/
ATOMIC_SPECIES
Ti 47.87 Ti.upf
Zn 65.41 Zn.upf
O 16.00 O.upf
CELL_PARAMETERS angstrom
2.909 0.000 0.000
0.700 7.582 0.000
1.268 1.022 8.354
ATOMIC_POSITIONS crystal
Ti 0.025 0.304 0.073
Ti 0.395 0.560 0.257
Ti 0.605 0.440 0.743
Ti 0.975 0.696 0.927
Zn 0.014 0.931 0.222
Zn 0.178 0.150 0.446
Zn 0.822 0.850 0.554
Zn 0.986 0.069 0.778
O 0.079 0.623 0.701
O 0.186 0.296 0.642
O 0.397 0.755 0.081
O 0.491 0.116 0.203
O 0.509 0.884 0.797
O 0.603 0.245 0.919
O 0.814 0.704 0.358
O 0.921 0.377 0.299

=====

No. 10
! PBE Au2S, relaxed; values from VASP
! **Total magnetic moment**: 0.00 μB/atom
! **Formation energy without anion corrections**: -0.2 eV/f.u.
! **E_tot**: -0.267 Ry/atom
! **Space group**: Pn-3m
&SYSTEM
  ibrav = 0, nat = 6, ntyp = 2
/
ATOMIC_SPECIES
Au 196.97 Au.upf
S 32.06 S.upf
CELL_PARAMETERS angstrom
5.339 0.000 0.000
0.000 5.339 0.000
0.000 0.000 5.339
ATOMIC_POSITIONS crystal
Au 0.000 0.000 0.000
Au 0.000 0.500 0.500
Au 0.500 0.000 0.500
Au 0.500 0.500 0.000
S 0.250 0.250 0.250
S 0.750 0.750 0.750

=====

No. 11
! PBE V3Ga, relaxed; values from VASP
! **Total magnetic moment**: 0.00 μB/atom
! **E_tot**: -0.571 Ry/atom
! **E_form**: -0.17 eV per atom
! **Space group**: P4/mmm
&SYSTEM
  ibrav = 0, nat = 4, ntyp = 2
/
ATOMIC_SPECIES
V 50.94 V.upf
Ga 69.72 Ga.upf
CELL_PARAMETERS angstrom
4.090 0.000 0.000
0.000 4.090 0.000
0.000 0.000 3.257
ATOMIC_POSITIONS crystal
V 0.000 0.000 0.000
V 0.000 0.500 0.500
V 0.500 0.000 0.500
Ga 0.500 0.500 0.000

=====

No. 12
! PBE Zr4TlMo, relaxed; values from VASP
! **Total magnetic moment**: 0.00 μB/atom
! **E_tot**: -0.544 Ry/atom
! **E_form**: 0.49 eV per atom
! **Space group**: F-43m
&SYSTEM
  ibrav = 0, nat = 6, ntyp = 3
/
ATOMIC_SPECIES
Zr 91.22 Zr.upf
Tl 204.38 Tl.upf
Mo 95.94 Mo.upf
CELL_PARAMETERS angstrom
0.000 4.027 4.027
4.027 0.000 4.027
4.027 4.027 0.000
ATOMIC_POSITIONS crystal
Zr 0.123 0.123 0.123
Zr 0.123 0.123 0.632
Zr 0.123 0.632 0.123
Zr 0.632 0.123 0.123
Tl 0.500 0.500 0.500
Mo 0.750 0.750 0.750